Here is a relaxed YTh2Sc8 crystal from the Alexandria database. Energies are from PBE-GGA.

Output
* energy of formation: 187 meV per atom

Lattice parameters (Å, degrees): 8.7245 16.0977 5.6050 90.00 129.50 90.00
Space group C2/m (No. 12)
Unique sites:
Y (0.0000, 0.0000, 0.0000) x2
Th (0.0000, 0.3079, 0.5000) x4
Sc (0.0000, 0.2002, 0.0000) x4
Sc (0.0099, 0.5000, 0.7530) x4
Sc (0.2287, 0.1282, 0.7254) x8

=====

Here is a relaxed CuSeBr2 crystal from the Alexandria database. Energies are from PBE-GGA.

Output
* formation energy (no corrections): 0.683 eV/atom

Lattice parameters (Å, degrees): 7.0122 7.0122 7.0122 90.00 90.00 90.00
Space group F-43m (No. 216)
Unique sites:
Cu (0.0000, 0.0000, 0.0000) x4
Se (0.2500, 0.2500, 0.7500) x4
Br (0.0000, 0.0000, 0.5000) x4
Br (0.2500, 0.2500, 0.2500) x4

=====

Taking the records one at a time from the top gives DFT total energy values of -6.35; -2.05 eV/atom.